#one
A plane-wave DFT calculation with GGA-PBEsol was carried out for TlCd5 after structural relaxation.

Cell lengths 5.7998, 5.7998, 5.7998 Å; angles 60.00, 60.00, 60.00 degrees
Last column: nearest neighbours and their distance in Å.
Fractional coordinates of all 6 atoms:
Cd  0.2500  0.2500  0.2500  12 Cd 3.40, 4 Tl 3.55
Cd  0.6247  0.1258  0.6247  6 Cd 2.89-2.91
Cd  0.6247  0.6247  0.1258  6 Cd 2.89-2.91
Cd  0.6247  0.6247  0.6247  6 Cd 2.89-2.91
Cd  0.1258  0.6247  0.6247  6 Cd 2.89-2.91
Tl  0.0000  0.0000  0.0000  16 Cd 3.40-3.55

Summary:
Fermi-level density of states in states/eV per cell: 2.311
Theoretical density in g cm⁻³: 9.2
Magnetic moment in Bohr magnetons per cell: 0.00

#two
A plane-wave DFT calculation with GGA-PBEsol was carried out for TlCd5 after structural relaxation.

Cell lengths 3.1370, 6.9633, 6.3874 Å; angles 101.27, 90.00, 103.02 degrees
Last column: nearest neighbours and their distance in Å.
Fractional coordinates of all 6 atoms:
Cd  0.0185  0.0371  0.0571  10 Cd 3.05-3.32, 2 Tl 3.22
Cd  0.6945  0.3890  0.3890  10 Cd 3.07-3.26, 2 Tl 3.19
Cd  0.3704  0.7408  0.7207  10 Cd 3.05-3.32, 2 Tl 3.22
Cd  0.3615  0.7231  0.2366  10 Cd 3.05-3.32, 2 Tl 3.24
Cd  0.0273  0.0546  0.5410  10 Cd 3.05-3.32, 2 Tl 3.24
Tl  0.6944  0.3888  0.8890  2 Tl 3.14, 10 Cd 3.19-3.24

Summary:
Fermi-level density of states in states/eV per cell: 2.136
Theoretical density in g cm⁻³: 9.6
Magnetic moment in Bohr magnetons per cell: 0.00

#two is preferred energetically. Next in line: 3.9 kJ/mol of atoms higher.

#one
A plane-wave DFT calculation with GGA-PBEsol was carried out for YMgAs after structural relaxation.

Cell lengths 4.0127, 4.0127, 5.5857 Å; angles 90.00, 90.00, 120.00 degrees
Last column: nearest neighbours and their distance in Å.
Fractional coordinates of all 3 atoms:
Y  0.6667  0.3333  0.2671  3 As 2.78
As  0.0000  0.0000  0.9906  3 Mg 2.70, 3 Y 2.78
Mg  0.3333  0.6667  0.7422  3 As 2.70

Summary:
Fermi-level density of states in states/eV per cell: 0.229
Theoretical density in g cm⁻³: 4.0
Magnetic moment in Bohr magnetons per cell: 0.00

#two
A plane-wave DFT calculation with GGA-PBEsol was carried out for YMgAs after structural relaxation.

Cell lengths 3.8763, 4.3713, 4.3713 Å; angles 120.00, 90.00, 90.00 degrees
Last column: nearest neighbours and their distance in Å.
Fractional coordinates of all 3 atoms:
Y  0.3334  0.6667  0.3333  6 Mg 3.18, 6 As 3.18
As  0.8337  0.0000  0.0000  3 Mg 2.52
Mg  0.8330  0.3333  0.6667  3 As 2.52

Summary:
Fermi-level density of states in states/eV per cell: 0.382
Theoretical density in g cm⁻³: 4.9
Magnetic moment in Bohr magnetons per cell: 0.00

#two is preferred energetically. Next in line: 7.3 kJ/mol of atoms higher.

#one
A plane-wave DFT calculation with GGA-PBEsol was carried out for Li2TeCl after structural relaxation.

Cell lengths 3.2157, 4.3285, 6.1256 Å; angles 90.00, 90.00, 90.00 degrees
Last column: nearest neighbours and their distance in Å.
Fractional coordinates of all 4 atoms:
Cl  0.5000  0.0000  0.5000  4 Li 2.70
Te  0.5000  0.5000  0.0000  4 Li 2.70
Li  0.0000  0.0000  0.0000  4 Te 2.70
Li  0.0000  0.5000  0.5000  4 Cl 2.70

Summary:
Fermi-level density of states in states/eV per cell: 1.745
Theoretical density in g cm⁻³: 3.4
Magnetic moment in Bohr magnetons per cell: 0.00

#two
A plane-wave DFT calculation with GGA-PBEsol was carried out for Li2TeCl after structural relaxation.

Cell lengths 4.6979, 4.9783, 4.6979 Å; angles 118.15, 90.00, 118.15 degrees
Last column: nearest neighbours and their distance in Å.
Fractional coordinates of all 4 atoms:
Cl  0.0000  0.0000  0.0000  8 Li 2.99, 4 Te 3.32
Te  0.5000  0.0000  0.5000  8 Li 2.99, 4 Cl 3.32
Li  0.7500  0.5000  0.2500  4 Cl 2.99, 4 Te 2.99, 4 Li 3.32
Li  0.2500  0.5000  0.7500  4 Cl 2.99, 4 Te 2.99, 4 Li 3.32

Summary:
Fermi-level density of states in states/eV per cell: 2.750
Theoretical density in g cm⁻³: 3.6
Magnetic moment in Bohr magnetons per cell: 0.00

#one is preferred energetically. Next in line: 18.3 kJ/mol of atoms higher.

#one
A plane-wave DFT calculation with GGA-PBEsol was carried out for Ta4Mo3 after structural relaxation.

Cell lengths 2.8170, 6.9101, 6.9268 Å; angles 117.85, 96.82, 98.09 degrees
Last column: nearest neighbours and their distance in Å.
Fractional coordinates of all 7 atoms:
Mo  0.9330  0.7124  0.5710  4 Ta 2.70-2.77, 4 Mo 2.73-2.82
Mo  0.5000  0.0000  0.0000  4 Ta 2.71-2.74, 4 Mo 2.79-2.82
Mo  0.0670  0.2876  0.4290  4 Ta 2.70-2.77, 4 Mo 2.73-2.82
Ta  0.6349  0.5764  0.8529  3 Mo 2.70-2.77, 5 Ta 2.82-2.83
Ta  0.2086  0.8606  0.2869  3 Mo 2.74-2.75, 5 Ta 2.79-2.83
Ta  0.7914  0.1394  0.7131  3 Mo 2.74-2.75, 5 Ta 2.79-2.83
Ta  0.3651  0.4236  0.1471  3 Mo 2.70-2.77, 5 Ta 2.82-2.83

Summary:
Fermi-level density of states in states/eV per cell: 6.166
Theoretical density in g cm⁻³: 14.6
Magnetic moment in Bohr magnetons per cell: 0.00

#two
A plane-wave DFT calculation with GGA-PBEsol was carried out for Ta4Mo3 after structural relaxation.

Cell lengths 3.1934, 3.1934, 11.5383 Å; angles 97.95, 97.95, 90.00 degrees
Last column: nearest neighbours and their distance in Å.
Fractional coordinates of all 7 atoms:
Mo  0.7836  0.7836  0.5673  4 Mo 2.72, 4 Ta 2.77
Mo  0.2164  0.2164  0.4327  4 Mo 2.72, 4 Ta 2.77
Mo  0.5000  0.5000  0.0000  8 Ta 2.75
Ta  0.6457  0.6457  0.2914  4 Mo 2.77, 4 Ta 2.84
Ta  0.0695  0.0695  0.1391  4 Mo 2.75, 4 Ta 2.84
Ta  0.9305  0.9305  0.8609  4 Mo 2.75, 4 Ta 2.84
Ta  0.3543  0.3543  0.7086  4 Mo 2.77, 4 Ta 2.84

Summary:
Fermi-level density of states in states/eV per cell: 6.040
Theoretical density in g cm⁻³: 14.6
Magnetic moment in Bohr magnetons per cell: 0.00

#two is preferred energetically. Next in line: 4.4 kJ/mol of atoms higher.

#one
A plane-wave DFT calculation with GGA-PBEsol was carried out for RePPt2 after structural relaxation.

Cell lengths 4.3286, 4.3286, 4.3286 Å; angles 60.00, 60.00, 60.00 degrees
Last column: nearest neighbours and their distance in Å.
Fractional coordinates of all 4 atoms:
P  0.5000  0.5000  0.5000  4 Pt 2.65, 4 Re 2.65
Pt  0.0000  0.0000  0.0000  4 Re 2.65, 4 Pt 2.65
Pt  0.7500  0.7500  0.7500  4 P 2.65, 4 Pt 2.65
Re  0.2500  0.2500  0.2500  4 P 2.65, 4 Pt 2.65

Summary:
Fermi-level density of states in states/eV per cell: 2.723
Theoretical density in g cm⁻³: 17.6
Magnetic moment in Bohr magnetons per cell: 0.00

#two
A plane-wave DFT calculation with GGA-PBEsol was carried out for RePPt2 after structural relaxation.

Cell lengths 2.9404, 4.2255, 5.2236 Å; angles 113.86, 106.35, 90.00 degrees
Last column: nearest neighbours and their distance in Å.
Fractional coordinates of all 4 atoms:
P  0.5000  0.0000  0.0000  4 Pt 2.41, 4 Re 2.57
Pt  0.7902  0.7902  0.5805  2 P 2.41, 4 Pt 2.68
Pt  0.2098  0.2098  0.4195  2 P 2.41, 4 Pt 2.68
Re  0.0000  0.5000  0.0000  4 P 2.57, 4 Pt 2.85

Summary:
Fermi-level density of states in states/eV per cell: 3.845
Theoretical density in g cm⁻³: 17.9
Magnetic moment in Bohr magnetons per cell: 0.00

#two is preferred energetically. Next in line: 12.8 kJ/mol of atoms higher.

#one
A plane-wave DFT calculation with GGA-PBEsol was carried out for Li2As after structural relaxation.

Cell lengths 3.3968, 3.3968, 4.5978 Å; angles 111.68, 111.68, 90.00 degrees
Last column: nearest neighbours and their distance in Å.
Fractional coordinates of all 3 atoms:
As  0.0000  0.0000  0.0000  10 Li 2.65-2.72
Li  0.3383  0.3383  0.6766  5 Li 2.54-2.77, 5 As 2.65-2.72
Li  0.6617  0.6617  0.3234  5 Li 2.54-2.77, 5 As 2.65-2.72

Summary:
Fermi-level density of states in states/eV per cell: 0.472
Theoretical density in g cm⁻³: 3.3
Magnetic moment in Bohr magnetons per cell: 0.00

#two
A plane-wave DFT calculation with GGA-PBEsol was carried out for Li2As after structural relaxation.

Cell lengths 2.8859, 4.3213, 7.2881 Å; angles 90.00, 101.42, 90.00 degrees
Last column: nearest neighbours and their distance in Å.
Fractional coordinates of all 6 atoms:
As  0.6208  0.7500  0.2417  10 Li 2.63-2.87, 2 As 2.89
As  0.3792  0.2500  0.7583  10 Li 2.63-2.87, 2 As 2.89
Li  0.9472  0.7500  0.8944  6 Li 2.64-2.89, 6 As 2.77-2.87
Li  0.2747  0.7500  0.5494  4 As 2.63, 8 Li 2.69-2.89
Li  0.7253  0.2500  0.4506  4 As 2.63, 8 Li 2.69-2.89
Li  0.0528  0.2500  0.1056  6 Li 2.64-2.89, 6 As 2.77-2.87

Summary:
Fermi-level density of states in states/eV per cell: 1.842
Theoretical density in g cm⁻³: 3.3
Magnetic moment in Bohr magnetons per cell: 0.00

#two is preferred energetically. Next in line: 5.1 kJ/mol of atoms higher.